Here is crystalline FeRu3F at its relaxed geometry from Alexandria. Energies are from PBE+U.

Cell: 4.158 4.158 4.158 Å, 90.00 90.00 90.00°
Positions (direct):
1 Fe 0.000 0.000 0.000
2 Ru 0.000 0.500 0.500
3 Ru 0.500 0.000 0.500
4 Ru 0.500 0.500 0.000
5 F 0.500 0.500 0.500

Values from the calculation:
**Final energy**: -29.79 eV/cell
**ρ**: 8.7 g/cm3
**Magnetic moment**: 4.66 μB/f.u.